HfIrI2O: optimized geometry, PBE.

Computed properties:
As for the formation energy (no corrections): 0.27 eV per atom. Its volume is 117.7 Å³/cell. The uncorrected energy comes out at -5.101 eV/atom. For the density of states at the Fermi level, the calculation gives 0.985 states/eV per atom.

Cell: 5.6444 5.6444 3.6957 Å, 90.00 90.00 90.00°
Each line ends with the local moment (μB).
Atoms (fractional coordinates):
I  0.0000  0.5000  0.0000  -0.03
I  0.5000  0.0000  0.0000  -0.03
O  0.0000  0.0000  0.5000  0.01
Hf  0.5000  0.5000  0.5000  0.68
Ir  0.0000  0.0000  0.0000  -0.02

=====

HfIrPt2I: optimized geometry, PBE.

Computed properties:
As for the formation energy (no corrections): 1.09 eV per atom. Its volume is 120.7 Å³/cell. The uncorrected energy comes out at -5.403 eV/atom. For the density of states at the Fermi level, the calculation gives 1.907 states/eV per atom.

Cell: 4.8982 5.0319 4.8982 Å, 90.00 90.00 90.00°
Atoms (fractional coordinates):
Hf  0.5000  0.5000  0.5000
Pt  0.0000  0.0000  0.5000
Pt  0.5000  0.0000  0.0000
I  0.0000  0.5000  0.0000
Ir  0.0000  0.0000  0.0000